[1]
A plane-wave DFT calculation with meta-GGA SCAN was carried out for CaMo3 at its PBEsol-relaxed geometry.

Computed properties:
The density of states at the Fermi level is 6.8 states/eV/cell. As for the relative energy among the computed polymorphs: 0.42 eV/f.u. The calculation puts the calculated total energy at -27.731 eV/atom. As for the formation energy: 0.849 eV/atom.

Structure (CIF):
```
data_CaMo3
_chemical_formula_sum 'Ca2 Mo6'
_cell_length_a 5.4061
_cell_length_b 9.6765
_cell_length_c 2.6150
_cell_angle_alpha 90.00
_cell_angle_beta 90.00
_cell_angle_gamma 90.00
_space_group_name_H-M_alt 'C m m m'
_space_group_IT_number 65
_space_group_name_Hall '-C 2 2'
loop_
_atom_site_label
_atom_site_type_symbol
_atom_site_fract_x
_atom_site_fract_y
_atom_site_fract_z
_atom_site_occupancy
Ca1 Ca 0.0000 0.0000 0.0000 1
Mo1 Mo 0.0000 0.5000 0.0000 1
Mo2 Mo 0.2500 0.2500 0.5000 1
```

[2]
A plane-wave DFT calculation with meta-GGA SCAN was carried out for ZnAsBrCl2 at its PBEsol-relaxed geometry.

Computed properties:
The density of states at the Fermi level is 2.4 states/eV/cell. The formation energy from raw total energies is -0.148 eV per atom. The calculation puts the calculated total energy at -13.972 eV/atom.

Structure (CIF):
```
data_ZnAsBrCl2
_chemical_formula_sum 'Zn1 As1 Br1 Cl2'
_cell_length_a 4.9248
_cell_length_b 4.9248
_cell_length_c 5.2942
_cell_angle_alpha 90.00
_cell_angle_beta 90.00
_cell_angle_gamma 90.00
_space_group_name_H-M_alt 'P 4/m m m'
_space_group_IT_number 123
_space_group_name_Hall '-P 4 2'
loop_
_atom_site_label
_atom_site_type_symbol
_atom_site_fract_x
_atom_site_fract_y
_atom_site_fract_z
_atom_site_occupancy
Zn1 Zn 0.0000 0.0000 0.0000 1
As1 As 0.5000 0.5000 0.5000 1
Br1 Br 0.5000 0.5000 0.0000 1
Cl1 Cl 0.0000 0.5000 0.5000 1
```

[3]
A plane-wave DFT calculation with meta-GGA SCAN was carried out for Ru2WSe at its PBEsol-relaxed geometry.

Computed properties:
The density of states at the Fermi level is 2.3 states/eV/cell. The formation energy from raw total energies is 0.171 eV per atom. The calculation puts the calculated total energy at -39.684 eV/atom.

Structure (CIF):
```
data_Ru2WSe
_chemical_formula_sum 'Ru2 W1 Se1'
_cell_length_a 2.8777
_cell_length_b 2.8777
_cell_length_c 6.9458
_cell_angle_alpha 90.00
_cell_angle_beta 90.00
_cell_angle_gamma 90.00
_space_group_name_H-M_alt 'P 4/m m m'
_space_group_IT_number 123
_space_group_name_Hall '-P 4 2'
loop_
_atom_site_label
_atom_site_type_symbol
_atom_site_fract_x
_atom_site_fract_y
_atom_site_fract_z
_atom_site_occupancy
Ru1 Ru 0.0000 0.0000 0.2392 1
W1 W 0.5000 0.5000 0.5000 1
Se1 Se 0.5000 0.5000 0.0000 1
```

[4]
A plane-wave DFT calculation with meta-GGA SCAN was carried out for CuMoRh2 at its PBEsol-relaxed geometry.

Computed properties:
The density of states at the Fermi level is 3.6 states/eV/cell. As for the relative energy among the computed polymorphs: 0.00 eV/f.u. The calculation puts the calculated total energy at -29.562 eV/atom. As for the formation energy: -0.155 eV/atom.

Structure (CIF):
```
data_CuMoRh2
_chemical_formula_sum 'Cu2 Mo2 Rh4'
_cell_length_a 3.8391
_cell_length_b 3.8391
_cell_length_c 7.2669
_cell_angle_alpha 90.00
_cell_angle_beta 90.00
_cell_angle_gamma 90.00
_space_group_name_H-M_alt 'I 4/m m m'
_space_group_IT_number 139
_space_group_name_Hall '-I 4 2'
loop_
_atom_site_label
_atom_site_type_symbol
_atom_site_fract_x
_atom_site_fract_y
_atom_site_fract_z
_atom_site_occupancy
Cu1 Cu 0.0000 0.0000 0.0000 1
Mo1 Mo 0.0000 0.0000 0.5000 1
Rh1 Rh 0.0000 0.5000 0.2500 1
```

[5]
A plane-wave DFT calculation with meta-GGA SCAN was carried out for Cd2SeCl at its PBEsol-relaxed geometry.

Computed properties:
The density of states at the Fermi level is 1.1 states/eV/cell. As for the relative energy among the computed polymorphs: 0.13 eV/f.u. The formation energy from raw total energies is -0.211 eV per atom. The calculation puts the calculated total energy at -22.432 eV/atom.

Structure (CIF):
```
data_Cd2SeCl
_chemical_formula_sum 'Cd2 Se1 Cl1'
_cell_length_a 3.2015
_cell_length_b 3.2015
_cell_length_c 8.6588
_cell_angle_alpha 90.00
_cell_angle_beta 90.00
_cell_angle_gamma 90.00
_space_group_name_H-M_alt 'P 4 m m'
_space_group_IT_number 99
_space_group_name_Hall 'P 4 -2'
loop_
_atom_site_label
_atom_site_type_symbol
_atom_site_fract_x
_atom_site_fract_y
_atom_site_fract_z
_atom_site_occupancy
Cd1 Cd 0.0000 0.0000 0.0000 1
Cd2 Cd 0.5000 0.5000 0.2578 1
Se1 Se 0.5000 0.5000 0.7868 1
Cl1 Cl 0.0000 0.0000 0.4411 1
```

[6]
A plane-wave DFT calculation with meta-GGA SCAN was carried out for InPb2 at its PBEsol-relaxed geometry.

Computed properties:
The density of states at the Fermi level is 5.6 states/eV/cell. The calculation puts the calculated total energy at -61.593 eV/atom. As for the formation energy: 0.056 eV/atom.

Structure (CIF):
```
data_InPb2
_chemical_formula_sum 'In4 Pb8'
_cell_length_a 3.3809
_cell_length_b 3.3809
_cell_length_c 30.4445
_cell_angle_alpha 90.00
_cell_angle_beta 90.00
_cell_angle_gamma 90.00
_space_group_name_H-M_alt 'I 41/a m d'
_space_group_IT_number 141
loop_
_space_group_symop_operation_xyz
'x,y,z'
'-x,-y,-z'
'-y+1/4,x+3/4,z+1/4'
'y+1/4,-x+3/4,-z+1/4'
'-x+1/2,-y,z+1/2'
'x+1/2,y,-z+1/2'
'y+1/4,-x+1/4,z+3/4'
'-y+1/4,x+1/4,-z+3/4'
'x,-y,-z'
'-x,y,z'
'-y+1/4,-x+1/4,-z+3/4'
'y+1/4,x+1/4,z+3/4'
'-x+1/2,y,-z+1/2'
'x+1/2,-y,z+1/2'
'y+1/4,x+3/4,-z+1/4'
'-y+1/4,-x+3/4,z+1/4'
'x+1/2,y+1/2,z+1/2'
'-x+1/2,-y+1/2,-z+1/2'
'-y+3/4,x+1/4,z+3/4'
'y+3/4,-x+1/4,-z+3/4'
'-x,-y+1/2,z'
'x,y+1/2,-z'
'y+3/4,-x+3/4,z+1/4'
'-y+3/4,x+3/4,-z+1/4'
'x+1/2,-y+1/2,-z+1/2'
'-x+1/2,y+1/2,z+1/2'
'-y+3/4,-x+3/4,-z+1/4'
'y+3/4,x+3/4,z+1/4'
'-x,y+1/2,-z'
'x,-y+1/2,z'
'y+3/4,x+1/4,-z+3/4'
'-y+3/4,-x+1/4,z+3/4'
loop_
_atom_site_label
_atom_site_type_symbol
_atom_site_fract_x
_atom_site_fract_y
_atom_site_fract_z
_atom_site_occupancy
In1 In 0.0000 0.2500 0.3750 1
Pb1 Pb 0.0000 0.2500 0.7969 1
```

[7]
A plane-wave DFT calculation with meta-GGA SCAN was carried out for LiTl2As at its PBEsol-relaxed geometry.

Computed properties:
The density of states at the Fermi level is 5.4 states/eV/cell. As for the relative energy among the computed polymorphs: 0.93 eV/f.u. The calculation puts the calculated total energy at -41.843 eV/atom. As for the formation energy: -0.018 eV/atom.

Structure (CIF):
```
data_LiTl2As
_chemical_formula_sum 'Li3 Tl6 As3'
_cell_length_a 3.5322
_cell_length_b 3.5322
_cell_length_c 25.6657
_cell_angle_alpha 90.00
_cell_angle_beta 90.00
_cell_angle_gamma 120.00
_space_group_name_H-M_alt 'R -3 m'
_space_group_IT_number 166
_space_group_name_Hall '-R 3 2"'
loop_
_atom_site_label
_atom_site_type_symbol
_atom_site_fract_x
_atom_site_fract_y
_atom_site_fract_z
_atom_site_occupancy
Li1 Li 0.0000 0.0000 0.0000 1
Tl1 Tl 0.0000 0.0000 0.2496 1
As1 As 0.0000 0.0000 0.5000 1
```

[8]
A plane-wave DFT calculation with meta-GGA SCAN was carried out for InReS2 at its PBEsol-relaxed geometry.

Computed properties:
The density of states at the Fermi level is 6.5 states/eV/cell. The formation energy from raw total energies is -0.145 eV per atom. The calculation puts the calculated total energy at -31.080 eV/atom.

Structure (CIF):
```
data_InReS2
_chemical_formula_sum 'In3 Re3 S6'
_cell_length_a 3.1262
_cell_length_b 3.1262
_cell_length_c 26.8719
_cell_angle_alpha 90.00
_cell_angle_beta 90.00
_cell_angle_gamma 120.00
_space_group_name_H-M_alt 'R -3 m'
_space_group_IT_number 166
_space_group_name_Hall '-R 3 2"'
loop_
_atom_site_label
_atom_site_type_symbol
_atom_site_fract_x
_atom_site_fract_y
_atom_site_fract_z
_atom_site_occupancy
In1 In 0.0000 0.0000 0.0000 1
Re1 Re 0.0000 0.0000 0.5000 1
S1 S 0.0000 0.0000 0.1075 1
```

[9]
A plane-wave DFT calculation with meta-GGA SCAN was carried out for La3IrPb at its PBEsol-relaxed geometry.

Computed properties:
The density of states at the Fermi level is 3.6 states/eV/cell. As for the relative energy among the computed polymorphs: 0.30 eV/f.u. The calculation puts the calculated total energy at -56.025 eV/atom. As for the formation energy: -0.786 eV/atom.

Structure (CIF):
```
data_La3IrPb
_chemical_formula_sum 'La3 Ir1 Pb1'
_cell_length_a 5.5096
_cell_length_b 5.5096
_cell_length_c 5.5096
_cell_angle_alpha 90.00
_cell_angle_beta 90.00
_cell_angle_gamma 90.00
_space_group_name_H-M_alt 'P m -3 m'
_space_group_IT_number 221
_space_group_name_Hall '-P 4 2 3'
loop_
_atom_site_label
_atom_site_type_symbol
_atom_site_fract_x
_atom_site_fract_y
_atom_site_fract_z
_atom_site_occupancy
La1 La 0.0000 0.0000 0.5000 1
Ir1 Ir 0.0000 0.0000 0.0000 1
Pb1 Pb 0.5000 0.5000 0.5000 1
```

[10]
A plane-wave DFT calculation with meta-GGA SCAN was carried out for Tl3PSe4 at its PBEsol-relaxed geometry.

Computed properties:
The formation energy from raw total energies is -0.329 eV per atom. The calculation puts the calculated total energy at -38.803 eV/atom.

Structure (CIF):
```
data_Tl3PSe4
_chemical_formula_sum 'Tl12 P4 Se16'
_cell_length_a 12.1175
_cell_length_b 10.2082
_cell_length_c 8.1243
_cell_angle_alpha 90.00
_cell_angle_beta 90.00
_cell_angle_gamma 90.00
_space_group_name_H-M_alt 'P n m a'
_space_group_IT_number 62
_space_group_name_Hall '-P 2ac 2n'
loop_
_atom_site_label
_atom_site_type_symbol
_atom_site_fract_x
_atom_site_fract_y
_atom_site_fract_z
_atom_site_occupancy
Tl1 Tl 0.0898 0.2500 0.0925 1
Tl2 Tl 0.1577 0.0310 0.5478 1
P1 P 0.0820 0.7500 0.2956 1
Se1 Se 0.0181 0.7500 0.5553 1
Se2 Se 0.0226 0.5714 0.1681 1
Se3 Se 0.2360 0.2500 0.7969 1
```

[11]
A plane-wave DFT calculation with meta-GGA SCAN was carried out for Sr2ZnTe at its PBEsol-relaxed geometry.

Computed properties:
The density of states at the Fermi level is 10.0 states/eV/cell. As for the relative energy among the computed polymorphs: 2.48 eV/f.u. The formation energy from raw total energies is -0.253 eV per atom. The calculation puts the calculated total energy at -24.082 eV/atom.

Structure (CIF):
```
data_Sr2ZnTe
_chemical_formula_sum 'Sr8 Zn4 Te4'
_cell_length_a 7.9057
_cell_length_b 7.9057
_cell_length_c 7.9057
_cell_angle_alpha 90.00
_cell_angle_beta 90.00
_cell_angle_gamma 90.00
_space_group_name_H-M_alt 'F -4 3 m'
_space_group_IT_number 216
_space_group_name_Hall 'F -4 2 3'
loop_
_atom_site_label
_atom_site_type_symbol
_atom_site_fract_x
_atom_site_fract_y
_atom_site_fract_z
_atom_site_occupancy
Sr1 Sr 0.0000 0.0000 0.0000 1
Sr2 Sr 0.2500 0.2500 0.2500 1
Zn1 Zn 0.0000 0.0000 0.5000 1
Te1 Te 0.2500 0.2500 0.7500 1
```

[12]
A plane-wave DFT calculation with meta-GGA SCAN was carried out for MnW at its PBEsol-relaxed geometry.

Computed properties:
The density of states at the Fermi level is 5.4 states/eV/cell. The calculation puts the calculated total energy at -43.448 eV/atom. As for the formation energy: 0.524 eV/atom.

Structure (CIF):
```
data_MnW
_chemical_formula_sum 'Mn2 W2'
_cell_length_a 2.6919
_cell_length_b 2.6919
_cell_length_c 8.5512
_cell_angle_alpha 90.00
_cell_angle_beta 90.00
_cell_angle_gamma 120.00
_space_group_name_H-M_alt 'P -3 m 1'
_space_group_IT_number 164
_space_group_name_Hall '-P 3 2"'
loop_
_atom_site_label
_atom_site_type_symbol
_atom_site_fract_x
_atom_site_fract_y
_atom_site_fract_z
_atom_site_occupancy
Mn1 Mn 0.3333 0.6667 0.4006 1
W1 W 0.3333 0.6667 0.8555 1
```